1.
# PmErIn, relaxed, DFT PBE
# E_form, meV/atom: -235
# Symmetry: P3m1 (156)
# Density of states at the Fermi level, states/eV/f.u.: 2.19
# Relative energy among the computed polymorphs, meV/atom: 108.9
data_PmErIn
_cell_length_a 3.6931
_cell_length_b 5.2570
_cell_length_c 5.2570
_cell_angle_alpha 120.00
_cell_angle_beta 90.00
_cell_angle_gamma 90.00
_symmetry_space_group_name_H-M 'P 1'
_symmetry_Int_Tables_number 1
loop_
_symmetry_equiv_pos_as_xyz
'x,y,z'
loop_
_atom_site_label
_atom_site_type_symbol
_atom_site_fract_x
_atom_site_fract_y
_atom_site_fract_z
Er1 Er 0.9118 0.0000 0.0000
In1 In 0.7272 0.6667 0.3333
Pm1 Pm 0.3610 0.3333 0.6667



2.
# Pm4Er2In, relaxed, DFT PBE
# E_form, meV/atom: 32
# Symmetry: P1 (1)
# Density of states at the Fermi level, states/eV/f.u.: 8.24
data_Pm4Er2In
_cell_length_a 8.8447
_cell_length_b 8.8265
_cell_length_c 8.8248
_cell_angle_alpha 133.81
_cell_angle_beta 99.54
_cell_angle_gamma 98.15
_symmetry_space_group_name_H-M 'P 1'
_symmetry_Int_Tables_number 1
loop_
_symmetry_equiv_pos_as_xyz
'x,y,z'
loop_
_atom_site_label
_atom_site_type_symbol
_atom_site_fract_x
_atom_site_fract_y
_atom_site_fract_z
Pm1 Pm 0.8942 0.0784 0.1845
In1 In 0.1504 0.1180 0.9663
Pm2 Pm 0.8811 0.6259 0.7449
Er1 Er 0.6630 0.0617 0.3979
Pm3 Pm 0.9655 0.7101 0.2397
In2 In 0.0996 0.5713 0.4731
Pm4 Pm 0.3572 0.0407 0.6826
Pm5 Pm 0.7786 0.0211 0.7364
Er2 Er 0.6250 0.3477 0.2229
Er3 Er 0.1251 0.3481 0.7226
Pm6 Pm 0.3675 0.6109 0.2435
Pm7 Pm 0.2844 0.0209 0.2415
Pm8 Pm 0.4713 0.7093 0.7442
Er4 Er 0.5870 0.4859 0.8997



3.
# Pm5Er5In2, relaxed, DFT PBE
# E_form, meV/atom: -53
# Symmetry: C2/m (12)
# Density of states at the Fermi level, states/eV/f.u.: 14.45
data_Pm5Er5In2
_cell_length_a 5.3271
_cell_length_b 6.2835
_cell_length_c 16.5734
_cell_angle_alpha 126.57
_cell_angle_beta 90.00
_cell_angle_gamma 115.08
_symmetry_space_group_name_H-M 'P 1'
_symmetry_Int_Tables_number 1
loop_
_symmetry_equiv_pos_as_xyz
'x,y,z'
loop_
_atom_site_label
_atom_site_type_symbol
_atom_site_fract_x
_atom_site_fract_y
_atom_site_fract_z
Pm1 Pm 0.3445 0.6889 0.0014
Pm2 Pm 0.7347 0.4693 0.3088
Er1 Er 0.0000 0.0000 0.0000
Pm3 Pm 0.5000 0.0000 0.5000
Pm4 Pm 0.2653 0.5307 0.6912
In1 In 0.9758 0.9516 0.8028
Er2 Er 0.6291 0.2582 0.7632
Pm5 Pm 0.6555 0.3111 0.9986
Er3 Er 0.8733 0.7466 0.5765
Er4 Er 0.3709 0.7418 0.2368
In2 In 0.0242 0.0484 0.1972
Er5 Er 0.1267 0.2534 0.4235



4.
# Pm7ErIn4, relaxed, DFT PBE
# E_form, meV/atom: -131
# Symmetry: C2/m (12)
# Density of states at the Fermi level, states/eV/f.u.: 13.79
data_Pm7ErIn4
_cell_length_a 5.7989
_cell_length_b 9.4439
_cell_length_c 7.9030
_cell_angle_alpha 75.00
_cell_angle_beta 68.48
_cell_angle_gamma 72.12
_symmetry_space_group_name_H-M 'P 1'
_symmetry_Int_Tables_number 1
loop_
_symmetry_equiv_pos_as_xyz
'x,y,z'
loop_
_atom_site_label
_atom_site_type_symbol
_atom_site_fract_x
_atom_site_fract_y
_atom_site_fract_z
Pm1 Pm 0.0631 0.6070 0.2668
Pm2 Pm 0.7228 0.3364 0.2179
Pm3 Pm 0.2057 0.1188 0.4697
Pm4 Pm 0.7943 0.8812 0.5303
In1 In 0.6811 0.6662 0.9717
In2 In 0.5570 0.2487 0.6374
Pm5 Pm 0.5000 0.0000 0.0000
Er1 Er 0.0000 0.0000 0.0000
In3 In 0.3189 0.3338 0.0283
Pm6 Pm 0.2772 0.6636 0.7821
In4 In 0.4430 0.7513 0.3626
Pm7 Pm 0.9369 0.3930 0.7332



5.
# Pm7ErIn2, relaxed, DFT PBE
# E_form, meV/atom: 326
# Symmetry: Cmmm (65)
# Density of states at the Fermi level, states/eV/f.u.: 20.18
data_Pm7ErIn2
_cell_length_a 5.3866
_cell_length_b 9.2428
_cell_length_c 9.2428
_cell_angle_alpha 119.57
_cell_angle_beta 90.00
_cell_angle_gamma 90.00
_symmetry_space_group_name_H-M 'P 1'
_symmetry_Int_Tables_number 1
loop_
_symmetry_equiv_pos_as_xyz
'x,y,z'
loop_
_atom_site_label
_atom_site_type_symbol
_atom_site_fract_x
_atom_site_fract_y
_atom_site_fract_z
Pm1 Pm 0.5000 0.0616 0.3014
Pm2 Pm 0.0000 0.7771 0.2229
Pm3 Pm 0.5000 0.5000 0.5000
In1 In 0.5000 0.3047 0.6953
Er1 Er 0.0000 0.0000 0.0000
Pm4 Pm 0.5000 0.6986 0.9384
Pm5 Pm 0.0000 0.2229 0.7771
In2 In 0.5000 0.6953 0.3047
Pm6 Pm 0.5000 0.3014 0.0616
Pm7 Pm 0.5000 0.9384 0.6986



6.
# PmErIn2, relaxed, DFT PBE
# E_form, meV/atom: -473
# Symmetry: P4/mmm (123)
# Density of states at the Fermi level, states/eV/f.u.: 2.27
data_PmErIn2
_cell_length_a 3.7911
_cell_length_b 3.7911
_cell_length_c 7.5724
_cell_angle_alpha 90.00
_cell_angle_beta 90.00
_cell_angle_gamma 90.00
_symmetry_space_group_name_H-M 'P 1'
_symmetry_Int_Tables_number 1
loop_
_symmetry_equiv_pos_as_xyz
'x,y,z'
loop_
_atom_site_label
_atom_site_type_symbol
_atom_site_fract_x
_atom_site_fract_y
_atom_site_fract_z
Pm1 Pm 0.5000 0.5000 0.5000
Er1 Er 0.5000 0.5000 0.0000
In1 In 0.0000 0.0000 0.2375
In2 In 0.0000 0.0000 0.7625



7.
# Pm2ErIn4, relaxed, DFT PBE
# E_form, meV/atom: -326
# Symmetry: I4/mmm (139)
# Density of states at the Fermi level, states/eV/f.u.: 5.16
data_Pm2ErIn4
_cell_length_a 5.2782
_cell_length_b 5.2782
_cell_length_c 8.3132
_cell_angle_alpha 108.51
_cell_angle_beta 108.51
_cell_angle_gamma 90.00
_symmetry_space_group_name_H-M 'P 1'
_symmetry_Int_Tables_number 1
loop_
_symmetry_equiv_pos_as_xyz
'x,y,z'
loop_
_atom_site_label
_atom_site_type_symbol
_atom_site_fract_x
_atom_site_fract_y
_atom_site_fract_z
Er1 Er 0.0000 0.0000 0.0000
In1 In 0.3899 0.8899 0.7798
In2 In 0.8899 0.3899 0.7798
In3 In 0.6101 0.1101 0.2202
Pm1 Pm 0.2508 0.2508 0.5015
Pm2 Pm 0.7492 0.7492 0.4985
In4 In 0.1101 0.6101 0.2202



8.
# Pm3Er2In7, relaxed, DFT PBE
# E_form, meV/atom: -244
# Symmetry: Cmmm (65)
# Density of states at the Fermi level, states/eV/f.u.: 11.46
data_Pm3Er2In7
_cell_length_a 4.8652
_cell_length_b 4.8443
_cell_length_c 15.0301
_cell_angle_alpha 99.27
_cell_angle_beta 90.00
_cell_angle_gamma 90.00
_symmetry_space_group_name_H-M 'P 1'
_symmetry_Int_Tables_number 1
loop_
_symmetry_equiv_pos_as_xyz
'x,y,z'
loop_
_atom_site_label
_atom_site_type_symbol
_atom_site_fract_x
_atom_site_fract_y
_atom_site_fract_z
In1 In 0.0000 0.5782 0.1565
Pm1 Pm 0.5000 0.6512 0.3024
In2 In 0.5000 0.9209 0.8418
Er1 Er 0.0000 0.8438 0.6876
Pm2 Pm 0.5000 0.5000 0.0000
Pm3 Pm 0.5000 0.3488 0.6976
In3 In 0.0000 0.0000 0.0000
Er2 Er 0.0000 0.1562 0.3124
In4 In 0.0000 0.2735 0.5469
In5 In 0.0000 0.7265 0.4531
In6 In 0.5000 0.0791 0.1582
In7 In 0.0000 0.4218 0.8435